Compound: MgTaNiAs
Source: OQMD
Functional: PBE-GGA
Structure: optimized geometry

Structure (CIF):
```
data_MgTaNiAs
_cell_length_a 6.400
_cell_length_b 6.400
_cell_length_c 6.400
_cell_angle_alpha 90.00
_cell_angle_beta 90.00
_cell_angle_gamma 90.00
_symmetry_space_group_name_H-M 'P 1'
_symmetry_Int_Tables_number 1
_symmetry_space_group_name_Hall 'P 1'
loop_
_atom_site_label
_atom_site_type_symbol
_atom_site_fract_x
_atom_site_fract_y
_atom_site_fract_z
_atom_site_occupancy
Mg1 Mg 0.000 0.000 0.000 1
Mg2 Mg 0.000 0.500 0.500 1
Mg3 Mg 0.500 0.000 0.500 1
Mg4 Mg 0.500 0.500 0.000 1
Ta1 Ta 0.250 0.250 0.750 1
Ta2 Ta 0.250 0.750 0.250 1
Ta3 Ta 0.750 0.250 0.250 1
Ta4 Ta 0.750 0.750 0.750 1
Ni1 Ni 0.000 0.000 0.500 1
Ni2 Ni 0.000 0.500 0.000 1
Ni3 Ni 0.500 0.000 0.000 1
Ni4 Ni 0.500 0.500 0.500 1
As1 As 0.250 0.250 0.250 1
As2 As 0.250 0.750 0.750 1
As3 As 0.750 0.250 0.750 1
As4 As 0.750 0.750 0.250 1
```

As for the space-group type: F-43m. For the total magnetization, the calculation gives 0.02 μB per atom. For the total energy, the calculation gives -5.42 eV/atom. The calculation puts the relative energy among the computed polymorphs at 0.220 eV per atom.

***

Compound: MgZrNiAs
Source: OQMD
Functional: PBE-GGA
Structure: optimized geometry

Structure (CIF):
```
data_MgZrNiAs
_cell_length_a 6.482
_cell_length_b 6.482
_cell_length_c 6.482
_cell_angle_alpha 90.00
_cell_angle_beta 90.00
_cell_angle_gamma 90.00
_symmetry_space_group_name_H-M 'P 1'
_symmetry_Int_Tables_number 1
_symmetry_space_group_name_Hall 'P 1'
loop_
_atom_site_label
_atom_site_type_symbol
_atom_site_fract_x
_atom_site_fract_y
_atom_site_fract_z
_atom_site_occupancy
Mg1 Mg 0.000 0.000 0.000 1
Mg2 Mg 0.000 0.500 0.500 1
Mg3 Mg 0.500 0.000 0.500 1
Mg4 Mg 0.500 0.500 0.000 1
Zr1 Zr 0.250 0.250 0.750 1
Zr2 Zr 0.250 0.750 0.250 1
Zr3 Zr 0.750 0.250 0.250 1
Zr4 Zr 0.750 0.750 0.750 1
Ni1 Ni 0.000 0.000 0.500 1
Ni2 Ni 0.000 0.500 0.000 1
Ni3 Ni 0.500 0.000 0.000 1
Ni4 Ni 0.500 0.500 0.500 1
As1 As 0.250 0.250 0.250 1
As2 As 0.250 0.750 0.750 1
As3 As 0.750 0.250 0.750 1
As4 As 0.750 0.750 0.250 1
```

As for the space-group type: F-43m. For the total magnetization, the calculation gives 0.00 μB per atom. For the total energy, the calculation gives -5.03 eV/atom.

***

Compound: MgAsPdO
Source: OQMD
Functional: PBE-GGA
Structure: optimized geometry

Structure (CIF):
```
data_MgAsPdO
_cell_length_a 2.910
_cell_length_b 7.391
_cell_length_c 5.460
_cell_angle_alpha 90.00
_cell_angle_beta 90.00
_cell_angle_gamma 90.00
_symmetry_space_group_name_H-M 'P 1'
_symmetry_Int_Tables_number 1
_symmetry_space_group_name_Hall 'P 1'
loop_
_atom_site_label
_atom_site_type_symbol
_atom_site_fract_x
_atom_site_fract_y
_atom_site_fract_z
_atom_site_occupancy
Mg1 Mg 0.000 0.022 0.000 1
Mg2 Mg 0.000 0.978 0.500 1
As1 As 0.000 0.372 0.303 1
As2 As 0.000 0.628 0.803 1
Pd1 Pd 0.500 0.361 0.712 1
Pd2 Pd 0.500 0.639 0.212 1
O1 O 0.500 0.041 0.744 1
O2 O 0.500 0.959 0.244 1
```

As for the space-group type: Pmc2_1. For the total energy, the calculation gives -5.25 eV/atom. The calculation puts the relative energy among the computed polymorphs at 0.048 eV per atom.